# 1
# CaZn4Cu8, relaxed, DFT PBE-GGA
data_CaZn4Cu8
_cell_length_a 8.613
_cell_length_b 8.613
_cell_length_c 4.991
_cell_angle_alpha 90.00
_cell_angle_beta 90.00
_cell_angle_gamma 90.00
_symmetry_space_group_name_H-M 'I 4/m m m'
_symmetry_Int_Tables_number 139
_symmetry_space_group_name_Hall '-I 4 2'
loop_
_atom_site_label
_atom_site_type_symbol
_atom_site_fract_x
_atom_site_fract_y
_atom_site_fract_z
Ca1 Ca 0.000 0.000 0.000
Zn1 Zn 0.250 0.250 0.250
Cu1 Cu 0.000 0.224 0.500
Cu2 Cu 0.000 0.357 0.000
# Total DFT energy (no corrections) ... -3.155 eV/atom
# Total magnetic moment ... 0.0 μB/cell


# 2
# LaSe2F, relaxed, DFT PBE-GGA
data_LaSe2F
_cell_length_a 4.9062
_cell_length_b 4.9062
_cell_length_c 12.7998
_cell_angle_alpha 90.00
_cell_angle_beta 90.00
_cell_angle_gamma 120.00
_symmetry_space_group_name_H-M 'R -3 m'
_symmetry_Int_Tables_number 166
_symmetry_space_group_name_Hall '-R 3 2"'
loop_
_atom_site_label
_atom_site_type_symbol
_atom_site_fract_x
_atom_site_fract_y
_atom_site_fract_z
La1 La 0.0000 0.0000 0.0000
Se1 Se 0.0000 0.0000 0.2365
F1 F 0.0000 0.0000 0.5000
# Total DFT energy (no corrections) ... -4.768 eV/atom
# Total magnetic moment ... 0.0 μB/cell
# Offset from the most stable computed form ... 0.879 eV/atom
# Formation energy from raw total energies ... -1326 meV/atom


# 3
# KHgPd, relaxed, DFT PBE-GGA
data_KHgPd
_cell_length_a 5.885
_cell_length_b 6.300
_cell_length_c 7.883
_cell_angle_alpha 90.00
_cell_angle_beta 90.00
_cell_angle_gamma 90.00
_symmetry_space_group_name_H-M 'I m m a'
_symmetry_Int_Tables_number 74
_symmetry_space_group_name_Hall '-I 2b 2'
loop_
_atom_site_label
_atom_site_type_symbol
_atom_site_fract_x
_atom_site_fract_y
_atom_site_fract_z
K1 K 0.000 0.250 0.114
Hg1 Hg 0.000 0.000 0.500
Pd1 Pd 0.250 0.250 0.750
# Total DFT energy (no corrections) ... -2.413 eV/atom
# Total magnetic moment ... 0.0 μB/cell
# Offset from the most stable computed form ... 0.000 eV/atom


# 4
# KBe2Tc, relaxed, DFT PBE-GGA
data_KBe2Tc
_cell_length_a 4.729
_cell_length_b 4.729
_cell_length_c 2.638
_cell_angle_alpha 90.00
_cell_angle_beta 90.00
_cell_angle_gamma 90.00
_symmetry_space_group_name_H-M 'P 4/m m m'
_symmetry_Int_Tables_number 123
_symmetry_space_group_name_Hall '-P 4 2'
loop_
_atom_site_label
_atom_site_type_symbol
_atom_site_fract_x
_atom_site_fract_y
_atom_site_fract_z
K1 K 0.000 0.000 0.000
Be1 Be 0.000 0.500 0.500
Tc1 Tc 0.500 0.500 0.000
# Total DFT energy (no corrections) ... -3.786 eV/atom
# Total magnetic moment ... 0.0 μB/cell
# Offset from the most stable computed form ... 0.552 eV/atom


# 5
# Pm2ZnRu2, relaxed, DFT PBE-GGA
data_Pm2ZnRu2
_cell_length_a 9.827
_cell_length_b 5.549
_cell_length_c 8.108
_cell_angle_alpha 90.00
_cell_angle_beta 105.60
_cell_angle_gamma 90.00
_symmetry_space_group_name_H-M 'C 1 2/c 1'
_symmetry_Int_Tables_number 15
_symmetry_space_group_name_Hall '-C 2yc'
loop_
_atom_site_label
_atom_site_type_symbol
_atom_site_fract_x
_atom_site_fract_y
_atom_site_fract_z
Pm1 Pm 0.146 0.152 0.146
Zn1 Zn 0.000 0.369 0.750
Ru1 Ru 0.138 0.351 0.511
# Total DFT energy (no corrections) ... -6.112 eV/atom
# Total magnetic moment ... 0.0 μB/cell
# Offset from the most stable computed form ... 0.026 eV/atom


# 6
# SrCd2Pt, relaxed, DFT PBE-GGA
data_SrCd2Pt
_cell_length_a 3.641
_cell_length_b 3.641
_cell_length_c 7.372
_cell_angle_alpha 90.00
_cell_angle_beta 90.00
_cell_angle_gamma 90.00
_symmetry_space_group_name_H-M 'P 4 m m'
_symmetry_Int_Tables_number 99
_symmetry_space_group_name_Hall 'P 4 -2'
loop_
_atom_site_label
_atom_site_type_symbol
_atom_site_fract_x
_atom_site_fract_y
_atom_site_fract_z
Sr1 Sr 0.000 0.000 0.000
Cd1 Cd 0.000 0.000 0.564
Cd2 Cd 0.500 0.500 0.333
Pt1 Pt 0.500 0.500 0.737
# Total DFT energy (no corrections) ... -2.748 eV/atom
# Total magnetic moment ... 0.0 μB/cell


# 7
# NbSb2TeI, relaxed, DFT PBE-GGA
data_NbSb2TeI
_cell_length_a 5.509
_cell_length_b 5.509
_cell_length_c 5.250
_cell_angle_alpha 90.00
_cell_angle_beta 90.00
_cell_angle_gamma 90.00
_symmetry_space_group_name_H-M 'P 4/m m m'
_symmetry_Int_Tables_number 123
_symmetry_space_group_name_Hall '-P 4 2'
loop_
_atom_site_label
_atom_site_type_symbol
_atom_site_fract_x
_atom_site_fract_y
_atom_site_fract_z
Nb1 Nb 0.000 0.000 0.000
Sb1 Sb 0.000 0.500 0.000
Te1 Te 0.500 0.500 0.500
I1 I 0.000 0.000 0.500
# Total DFT energy (no corrections) ... -4.226 eV/atom
# Total magnetic moment ... 0.0 μB/cell
# Offset from the most stable computed form ... 0.221 eV/atom
# Formation energy from raw total energies ... 376 meV/atom


# 8
# Na3Zr2PaS6, relaxed, DFT PBE-GGA
data_Na3Zr2PaS6
_cell_length_a 6.482
_cell_length_b 11.228
_cell_length_c 7.224
_cell_angle_alpha 90.00
_cell_angle_beta 107.41
_cell_angle_gamma 90.00
_symmetry_space_group_name_H-M 'C 1 2/m 1'
_symmetry_Int_Tables_number 12
_symmetry_space_group_name_Hall '-C 2y'
loop_
_atom_site_label
_atom_site_type_symbol
_atom_site_fract_x
_atom_site_fract_y
_atom_site_fract_z
Na1 Na 0.000 0.000 0.000
Na2 Na 0.000 0.334 0.000
Zr1 Zr 0.000 0.167 0.500
Pa1 Pa 0.000 0.500 0.500
S1 S 0.237 0.000 0.729
S2 S 0.246 0.331 0.729
# Total DFT energy (no corrections) ... -6.100 eV/atom
# Total magnetic moment ... 0.0 μB/cell
# Formation energy from raw total energies ... -1491 meV/atom


# 9
# Pa2CdGa9, relaxed, DFT PBE-GGA
data_Pa2CdGa9
_cell_length_a 4.296
_cell_length_b 4.296
_cell_length_c 12.815
_cell_angle_alpha 90.00
_cell_angle_beta 90.00
_cell_angle_gamma 90.00
_symmetry_space_group_name_H-M 'P 4/m m m'
_symmetry_Int_Tables_number 123
_symmetry_space_group_name_Hall '-P 4 2'
loop_
_atom_site_label
_atom_site_type_symbol
_atom_site_fract_x
_atom_site_fract_y
_atom_site_fract_z
Pa1 Pa 0.000 0.000 0.166
Cd1 Cd 0.000 0.000 0.500
Ga1 Ga 0.000 0.500 0.000
Ga2 Ga 0.000 0.500 0.337
Ga3 Ga 0.500 0.500 0.158
Ga4 Ga 0.500 0.500 0.500
# Total DFT energy (no corrections) ... -4.124 eV/atom
# Total magnetic moment ... 0.0 μB/cell


# 10
# YMg4Cd8, relaxed, DFT PBE-GGA
data_YMg4Cd8
_cell_length_a 9.811
_cell_length_b 9.811
_cell_length_c 6.052
_cell_angle_alpha 90.00
_cell_angle_beta 90.00
_cell_angle_gamma 90.00
_symmetry_space_group_name_H-M 'I 4/m m m'
_symmetry_Int_Tables_number 139
_symmetry_space_group_name_Hall '-I 4 2'
loop_
_atom_site_label
_atom_site_type_symbol
_atom_site_fract_x
_atom_site_fract_y
_atom_site_fract_z
Y1 Y 0.000 0.000 0.000
Mg1 Mg 0.250 0.250 0.250
Cd1 Cd 0.000 0.216 0.500
Cd2 Cd 0.000 0.345 0.000
# Total DFT energy (no corrections) ... -1.703 eV/atom
# Total magnetic moment ... 0.0 μB/cell


# 11
# LiLaFe2, relaxed, DFT PBE-GGA
data_LiLaFe2
_cell_length_a 6.615
_cell_length_b 6.615
_cell_length_c 6.615
_cell_angle_alpha 90.00
_cell_angle_beta 90.00
_cell_angle_gamma 90.00
_symmetry_space_group_name_H-M 'F m -3 m'
_symmetry_Int_Tables_number 225
_symmetry_space_group_name_Hall '-F 4 2 3'
loop_
_atom_site_label
_atom_site_type_symbol
_atom_site_fract_x
_atom_site_fract_y
_atom_site_fract_z
Li1 Li 0.000 0.000 0.000
La1 La 0.000 0.000 0.500
Fe1 Fe 0.250 0.250 0.250
# Total DFT energy (no corrections) ... -5.393 eV/atom
# Total magnetic moment ... 16.3 μB/cell
# Offset from the most stable computed form ... 0.337 eV/atom


# 12
# Pr14DyIn, relaxed, DFT PBE-GGA
data_Pr14DyIn
_cell_length_a 10.395
_cell_length_b 10.342
_cell_length_c 10.344
_cell_angle_alpha 90.00
_cell_angle_beta 90.00
_cell_angle_gamma 90.00
_symmetry_space_group_name_H-M 'A m m 2'
_symmetry_Int_Tables_number 38
_symmetry_space_group_name_Hall 'A 2 -2'
loop_
_atom_site_label
_atom_site_type_symbol
_atom_site_fract_x
_atom_site_fract_y
_atom_site_fract_z
Pr1 Pr 0.000 0.000 0.000
Pr2 Pr 0.000 0.000 0.499
Pr3 Pr 0.000 0.250 0.250
Pr4 Pr 0.256 0.000 0.247
Pr5 Pr 0.256 0.000 0.752
Pr6 Pr 0.256 0.247 0.000
Pr7 Pr 0.500 0.250 0.250
Dy1 Dy 0.500 0.000 0.500
In1 In 0.500 0.000 0.999
# Total DFT energy (no corrections) ... -4.685 eV/atom
# Total magnetic moment ... 0.0 μB/cell